(1)
This record from the Alexandria database describes a geometry-optimized LaSm3Dy7 structure. The functional is GGA-PBE.

## Properties
Its formation energy is 141 meV/atom. Its crystal system is monoclinic. The final energy comes out at -49.748 eV per cell.

abc: 6.994 5.576 9.997
angles: 90.00 109.55 90.00
Space group P2/m (No. 10)
One atom of each set of equivalent atoms:
La: 0.000 0.000 0.000 x1
Sm: 0.281 0.500 0.497 x2
Sm: 0.500 0.000 0.000 x1
Dy: 0.000 0.000 0.500 x1
Dy: 0.145 0.500 0.788 x2
Dy: 0.324 0.500 0.141 x2
Dy: 0.423 0.000 0.331 x2

(2)
This record from the Alexandria database describes a geometry-optimized La2Sm5Dy6 structure. The functional is GGA-PBE.

## Properties
Its formation energy is 96 meV/atom. Its crystal system is orthorhombic. The final energy comes out at -119.641 eV per cell.

abc: 11.806 20.574 3.613
angles: 90.00 90.00 90.00
Space group Pbam (No. 55)
One atom of each set of equivalent atoms:
La: 0.171 0.221 0.000 x4
Sm: 0.000 0.500 0.500 x2
Sm: 0.089 0.782 0.500 x4
Sm: 0.201 0.054 0.500 x4
Dy: 0.061 0.925 0.000 x4
Dy: 0.074 0.638 0.000 x4
Dy: 0.182 0.376 0.500 x4

(3)
This record from the Alexandria database describes a geometry-optimized LaSm2Dy9 structure. The functional is GGA-PBE.

## Properties
Its formation energy is 46 meV/atom. Its crystal system is hexagonal. The final energy comes out at -55.232 eV per cell.

abc: 11.3204 11.3204 3.5309
angles: 90.00 90.00 120.00
Space group P6/mmm (No. 191)
One atom of each set of equivalent atoms:
La: 0.0000 0.0000 0.0000 x1
Sm: 0.3333 0.6667 0.0000 x2
Dy: 0.0000 0.5000 0.0000 x3
Dy: 0.1775 0.3549 0.5000 x6

(4)
This record from the Alexandria database describes a geometry-optimized La2SmDy3 structure. The functional is GGA-PBE.

## Properties
Its formation energy is 179 meV/atom. Its crystal system is monoclinic. The final energy comes out at -109.217 eV per cell.

abc: 10.405 11.594 6.755
angles: 90.00 90.46 90.00
Space group C2/c (No. 15)
One atom of each set of equivalent atoms:
La: 0.169 0.240 0.248 x8
Sm: 0.000 0.000 0.000 x4
Dy: 0.000 0.269 0.750 x4
Dy: 0.165 0.499 0.499 x8

(5)
This record from the Alexandria database describes a geometry-optimized La3SmDy4 structure. The functional is GGA-PBE.

## Properties
Its formation energy is 134 meV/atom. Its crystal system is orthorhombic. The final energy comes out at -73.681 eV per cell.

abc: 3.501 11.842 13.227
angles: 90.00 90.00 90.00
Space group Immm (No. 71)
One atom of each set of equivalent atoms:
La: 0.000 0.000 0.000 x2
La: 0.000 0.500 0.243 x4
Sm: 0.000 0.000 0.500 x2
Dy: 0.000 0.247 0.366 x8

(6)
This record from the Alexandria database describes a geometry-optimized La8SmDy2 structure. The functional is GGA-PBE.

## Properties
Its formation energy is 121 meV/atom. Its crystal system is monoclinic. The final energy comes out at -104.019 eV per cell.

abc: 9.287 16.870 6.108
angles: 90.00 124.29 90.00
Space group C2/m (No. 12)
One atom of each set of equivalent atoms:
La: 0.000 0.205 0.000 x4
La: 0.079 0.500 0.798 x4
La: 0.216 0.120 0.685 x8
Sm: 0.000 0.000 0.000 x2
Dy: 0.000 0.311 0.500 x4

(7)
This record from the Alexandria database describes a geometry-optimized La5Sm12Dy2 structure. The functional is GGA-PBE.

## Properties
Its formation energy is 190 meV/atom. Its crystal system is monoclinic. The final energy comes out at -173.717 eV per cell.

abc: 18.225 9.317 8.884
angles: 90.00 117.47 90.00
Space group C2/m (No. 12)
One atom of each set of equivalent atoms:
La: 0.000 0.000 0.000 x2
La: 0.214 0.500 0.726 x4
La: 0.236 0.000 0.802 x4
Sm: 0.046 0.000 0.686 x4
Sm: 0.068 0.500 0.229 x4
Sm: 0.123 0.284 0.954 x8
Sm: 0.147 0.182 0.412 x8
Dy: 0.000 0.327 0.500 x4

(8)
This record from the Alexandria database describes a geometry-optimized La6Sm4Dy structure. The functional is GGA-PBE.

## Properties
Its formation energy is 262 meV/atom. Its crystal system is tetragonal. The final energy comes out at -100.317 eV per cell.

abc: 7.029 7.029 16.184
angles: 90.00 90.00 90.00
Space group I-42m (No. 121)
One atom of each set of equivalent atoms:
La: 0.000 0.500 0.000 x4
La: 0.190 0.190 0.182 x8
Sm: 0.170 0.170 0.395 x8
Dy: 0.000 0.000 0.000 x2

(9)
This record from the Alexandria database describes a geometry-optimized La3Sm12Dy structure. The functional is GGA-PBE.

## Properties
Its formation energy is 19 meV/atom. Its crystal system is tetragonal. The final energy comes out at -75.710 eV per cell.

abc: 5.157 5.157 20.623
angles: 90.00 90.00 90.00
Space group P4/mmm (No. 123)
One atom of each set of equivalent atoms:
La: 0.000 0.000 0.000 x1
La: 0.000 0.000 0.251 x2
Sm: 0.000 0.500 0.126 x4
Sm: 0.000 0.500 0.378 x4
Sm: 0.500 0.500 0.000 x1
Sm: 0.500 0.500 0.252 x2
Sm: 0.500 0.500 0.500 x1
Dy: 0.000 0.000 0.500 x1

(10)
This record from the Alexandria database describes a geometry-optimized La2Sm5Dy2 structure. The functional is GGA-PBE.

## Properties
Its formation energy is 194 meV/atom. Its crystal system is orthorhombic. The final energy comes out at -163.642 eV per cell.

abc: 15.066 12.035 6.845
angles: 90.00 90.00 90.00
Space group Ima2 (No. 46)
One atom of each set of equivalent atoms:
La: 0.126 0.003 0.000 x8
Sm: 0.053 0.749 0.145 x8
Sm: 0.143 0.233 0.319 x8
Sm: 0.250 0.740 0.350 x4
Dy: 0.000 0.000 0.466 x4
Dy: 0.250 0.008 0.537 x4

(11)
This record from the Alexandria database describes a geometry-optimized La12SmDy3 structure. The functional is GGA-PBE.

## Properties
Its formation energy is 8 meV/atom. Its crystal system is tetragonal. The final energy comes out at -77.526 eV per cell.

abc: 5.215 5.215 20.841
angles: 90.00 90.00 90.00
Space group P4/mmm (No. 123)
One atom of each set of equivalent atoms:
La: 0.000 0.000 0.000 x1
La: 0.000 0.000 0.249 x2
La: 0.000 0.000 0.500 x1
La: 0.000 0.500 0.125 x4
La: 0.000 0.500 0.374 x4
Sm: 0.500 0.500 0.500 x1
Dy: 0.500 0.500 0.000 x1
Dy: 0.500 0.500 0.249 x2

(12)
This record from the Alexandria database describes a geometry-optimized La4Sm3Dy2 structure. The functional is GGA-PBE.

## Properties
Its formation energy is 25 meV/atom. Its crystal system is monoclinic. The final energy comes out at -85.702 eV per cell.

abc: 15.545 5.205 8.145
angles: 90.00 108.35 90.00
Space group C2/m (No. 12)
One atom of each set of equivalent atoms:
La: 0.055 0.000 0.330 x4
La: 0.223 0.500 0.331 x4
Sm: 0.000 0.500 0.000 x2
Sm: 0.112 0.500 0.671 x4
Dy: 0.168 0.000 0.000 x4